# 1
Below is an optimized crystal structure of Ti2ZnBi2, with properties calculated at the PBE level.

Values from the calculation:
**Energy**: -4.99 eV per atom
**E above lowest polymorph**: 0.000 eV per atom
**Space-group type**: P4/mbm (127)
**Energy of formation**: -0.14 eV per formula unit

Lattice parameters (Å, degrees): 7.4131 7.4131 3.9427 90.00 90.00 90.00
Last column: nearest neighbours and their distance in Å.
Sites, in units of the cell vectors:
Bi: 0.3380 0.1620 0.5000  6 Ti 2.86-2.99
Bi: 0.1620 0.6620 0.5000  6 Ti 2.86-2.99
Bi: 0.8380 0.3380 0.5000  6 Ti 2.86-2.99
Bi: 0.6620 0.8380 0.5000  6 Ti 2.86-2.99
Zn: 0.0000 0.0000 0.0000  4 Ti 2.86
Zn: 0.5000 0.5000 0.0000  4 Ti 2.86
Ti: 0.6401 0.1401 0.0000  6 Bi 2.86-2.99, 2 Zn 2.86, 1 Ti 2.94
Ti: 0.8599 0.6401 0.0000  6 Bi 2.86-2.99, 2 Zn 2.86, 1 Ti 2.94
Ti: 0.3599 0.8599 0.0000  6 Bi 2.86-2.99, 2 Zn 2.86, 1 Ti 2.94
Ti: 0.1401 0.3599 0.0000  6 Bi 2.86-2.99, 2 Zn 2.86, 1 Ti 2.94

# 2
Below is an optimized crystal structure of CePtSe2, with properties calculated at the PBE level.

Values from the calculation:
**Energy**: -5.03 eV per atom
**Formation energy from raw total energies**: -0.2921 eV per atom
**Space-group type**: R-3m (166)

Lattice parameters (Å, degrees): 3.7539 3.7539 8.8442 77.75 77.75 60.00
Last column: nearest neighbours and their distance in Å.
Sites, in units of the cell vectors:
Se: 0.8861 0.8861 0.3417  3 Pt 2.56
Se: 0.1139 0.1139 0.6583  3 Pt 2.56
Ce: 0.0000 0.0000 0.0000  2 Se 2.93
Pt: 0.5000 0.5000 0.5000  6 Se 2.56

# 3
Below is an optimized crystal structure of B2C, with properties calculated at the PBE level.

Values from the calculation:
**Energy**: -7.07 eV per atom
**E above lowest polymorph**: 0.271 eV per atom
**Space-group type**: Pmm2 (25)
**Energy of formation**: 1.37 eV per formula unit

Lattice parameters (Å, degrees): 2.5990 4.1703 8.1343 90.00 90.00 90.00
Last column: nearest neighbours and their distance in Å.
Sites, in units of the cell vectors:
B: 0.0000 0.7605 0.6436  1 C 1.60
B: 0.0000 0.7445 0.0000  4 B 1.75-1.82
B: 0.5000 0.4510 0.6661  2 C 1.56-1.63
B: 0.0000 0.7605 0.3564  1 C 1.60
B: 0.0000 0.0702 0.8652  2 C 1.53
B: 0.0000 0.0702 0.1348  2 C 1.53
B: 0.5000 0.4397 0.0000  2 C 1.62, 2 B 1.82
B: 0.5000 0.4510 0.3339  2 C 1.56-1.63
C: 0.5000 0.2476 0.8264  4 B 1.53-1.62
C: 0.0000 0.0240 0.5000  2 C 1.56, 2 B 1.60
C: 0.5000 0.2331 0.5000  2 C 1.56, 2 B 1.63
C: 0.5000 0.2476 0.1736  4 B 1.53-1.62

# 4
Below is an optimized crystal structure of IrAu2Cl, with properties calculated at the PBE level.

Values from the calculation:
**Energy**: -3.87 eV per atom
**Formation energy from raw total energies**: 0.4425 eV per atom
**E above lowest polymorph**: 0.094 eV per atom
**Space-group type**: Cmmm (65)

Lattice parameters (Å, degrees): 3.0214 3.0214 9.1605 90.00 90.00 122.59
Last column: nearest neighbours and their distance in Å.
Sites, in units of the cell vectors:
Au: 0.0000 0.0000 0.0003  2 Cl 2.71, 2 Ir 2.71, 6 Au 2.90-3.02
Au: 0.0000 0.0000 0.4997  2 Cl 2.71, 2 Ir 2.71, 6 Au 2.90-3.02
Ir: 0.5000 0.5000 0.7500  4 Au 2.71, 6 Ir 2.90-3.02
Cl: 0.5000 0.5000 0.2500  4 Au 2.71, 6 Cl 2.90-3.02

# 5
Below is an optimized crystal structure of ZrAgSn2, with properties calculated at the PBE level.

Values from the calculation:
**Energy**: -4.94 eV per atom
**E above lowest polymorph**: 0.137 eV per atom
**Space-group type**: P4/mmm (123)
**Energy of formation**: -0.37 eV per formula unit

Lattice parameters (Å, degrees): 3.7370 3.7370 6.4101 90.00 90.00 90.00
Last column: nearest neighbours and their distance in Å.
Sites, in units of the cell vectors:
Sn: 0.0000 0.0000 0.7550  4 Ag 3.07, 4 Zr 3.11, 2 Sn 3.14-3.27
Sn: 0.0000 0.0000 0.2450  4 Ag 3.07, 4 Zr 3.11, 2 Sn 3.14-3.27
Ag: 0.5000 0.5000 0.0000  8 Sn 3.07, 2 Zr 3.21
Zr: 0.5000 0.5000 0.5000  8 Sn 3.11, 2 Ag 3.21

# 6
Below is an optimized crystal structure of V3CdGa, with properties calculated at the PBE level.

Values from the calculation:
**Energy**: -5.25 eV per atom
**E above lowest polymorph**: 0.000 eV per atom
**Space-group type**: Pm-3m (221)
**Energy of formation**: 5.06 eV per formula unit

Lattice parameters (Å, degrees): 4.5305 4.5305 4.5305 90.00 90.00 90.00
Last column: nearest neighbours and their distance in Å.
Sites, in units of the cell vectors:
V: 0.0000 0.0000 0.5000  2 Ga 2.27
V: 0.5000 0.0000 0.0000  2 Ga 2.27
V: 0.0000 0.5000 0.0000  2 Ga 2.27
Cd: 0.5000 0.5000 0.5000  12 V 3.20
Ga: 0.0000 0.0000 0.0000  6 V 2.27

# 7
Below is an optimized crystal structure of BeZnPd3, with properties calculated at the PBE level.

Values from the calculation:
**Energy**: -3.42 eV per atom
**E above lowest polymorph**: 1.102 eV per atom
**Space-group type**: Pm-3m (221)
**Energy of formation**: 3.50 eV per formula unit

Lattice parameters (Å, degrees): 4.5723 4.5723 4.5723 90.00 90.00 90.00
Last column: nearest neighbours and their distance in Å.
Sites, in units of the cell vectors:
Zn: 0.0000 0.0000 0.0000  6 Pd 2.29
Pd: 0.0000 0.5000 0.0000  2 Zn 2.29
Pd: 0.5000 0.0000 0.0000  2 Zn 2.29
Pd: 0.0000 0.0000 0.5000  2 Zn 2.29
Be: 0.5000 0.5000 0.5000  12 Pd 3.23

# 8
Below is an optimized crystal structure of TlFeRu, with properties calculated at the PBE level.

Values from the calculation:
**Energy**: -6.22 eV per atom
**E above lowest polymorph**: 0.000 eV per atom
**Space-group type**: I4mm (107)
**Energy of formation**: 1.44 eV per formula unit

Lattice parameters (Å, degrees): 5.3850 5.3849 3.1747 72.86 72.86 34.29
Last column: nearest neighbours and their distance in Å.
Sites, in units of the cell vectors:
Fe: 0.9808 0.9808 0.0192  4 Ru 2.56
Ru: 0.3549 0.3549 0.6451  4 Fe 2.56
Tl: 0.6643 0.6643 0.3357  5 Fe 2.87-3.10, 5 Ru 2.92-3.03, 4 Tl 3.17

# 9
Below is an optimized crystal structure of ReAg2Ir, with properties calculated at the PBE level.

Values from the calculation:
**Energy**: -6.25 eV per atom
**E above lowest polymorph**: 0.295 eV per atom
**Space-group type**: C2/m (12)
**Energy of formation**: 2.01 eV per formula unit

Lattice parameters (Å, degrees): 5.0779 5.0779 4.7445 81.14 81.14 31.81
Last column: nearest neighbours and their distance in Å.
Sites, in units of the cell vectors:
Ir: 0.2500 0.2500 0.2500  4 Re 2.75, 2 Ir 2.78, 6 Ag 2.87-2.90
Re: 0.7500 0.7500 0.7500  4 Ir 2.75, 2 Re 2.78, 6 Ag 2.89
Ag: 0.4992 0.4992 0.5008  6 Ag 2.75-2.78, 3 Ir 2.87-2.90, 3 Re 2.89
Ag: 0.0008 0.0008 0.9992  6 Ag 2.75-2.78, 3 Ir 2.87-2.90, 3 Re 2.89

# 10
Below is an optimized crystal structure of BaMg2TlHg2, with properties calculated at the PBE level.

Values from the calculation:
**Energy**: -1.65 eV per atom
**Space-group type**: P-3m1 (164)
**Energy of formation**: -1.79 eV per formula unit

Lattice parameters (Å, degrees): 5.0378 5.0378 7.8939 90.00 90.00 120.00
Last column: nearest neighbours and their distance in Å.
Sites, in units of the cell vectors:
Hg: 0.6667 0.3333 0.7519  4 Mg 3.02-3.17
Hg: 0.3333 0.6667 0.2481  4 Mg 3.02-3.17
Mg: 0.6667 0.3333 0.3508  4 Hg 3.02-3.17, 3 Tl 3.14
Mg: 0.3333 0.6667 0.6492  4 Hg 3.02-3.17, 3 Tl 3.14
Tl: 0.0000 0.0000 0.5000  6 Mg 3.14
Ba: 0.0000 0.0000 0.0000  6 Hg 3.51

# 11
Below is an optimized crystal structure of TlNi2, with properties calculated at the PBE level.

Values from the calculation:
**Energy**: -4.34 eV per atom
**Space-group type**: I4/mmm (139)
**Energy of formation**: 0.90 eV per formula unit

Lattice parameters (Å, degrees): 4.7761 4.7761 4.7761 140.30 140.30 57.39
Last column: nearest neighbours and their distance in Å.
Sites, in units of the cell vectors:
Ni: 0.6768 0.6768 0.0000  4 Ni 2.60, 5 Tl 2.71-2.73
Ni: 0.3232 0.3232 0.0000  4 Ni 2.60, 5 Tl 2.71-2.73
Tl: 0.0000 0.0000 0.0000  10 Ni 2.71-2.73

# 12
Below is an optimized crystal structure of Th3OsAu2, with properties calculated at the PBE level.

Values from the calculation:
**Energy**: -7.22 eV per atom
**Space-group type**: C2/m (12)
**Energy of formation**: -3.29 eV per formula unit

Lattice parameters (Å, degrees): 7.1546 7.1546 7.5076 98.62 98.62 116.66
Last column: nearest neighbours and their distance in Å.
Sites, in units of the cell vectors:
Th: 0.6222 0.9555 0.7902  2 Os 2.83, 4 Au 3.02-3.14
Th: 0.8973 0.5850 0.7658  2 Os 2.86-2.87, 4 Au 3.09-3.18
Th: 0.2517 0.2306 0.7658  2 Os 2.86-2.87, 4 Au 3.09-3.18
Th: 0.7694 0.7483 0.2342  2 Os 2.86-2.87, 4 Au 3.09-3.18
Th: 0.0445 0.3778 0.2098  2 Os 2.83, 4 Au 3.02-3.14
Th: 0.4150 0.1027 0.2342  2 Os 2.86-2.87, 4 Au 3.09-3.18
Au: 0.4784 0.5216 0.5000  6 Th 3.14-3.18
Au: 0.1883 0.8117 0.5000  6 Th 3.14-3.18
Au: 0.8333 0.1667 0.5000  6 Th 3.04-3.14
Au: 0.3333 0.6667 0.0000  6 Th 3.02-3.09
Os: 0.0064 0.9936 0.0000  6 Th 2.83-2.87
Os: 0.6603 0.3397 0.0000  6 Th 2.83-2.87